This record from Alexandria describes IBrCl3 after structural relaxation. The functional is GGA-PBE.

crystal system: orthorhombic

Structure (POSCAR):
```
IBrCl3
1.0
-6.3013 2.9357 6.8572
6.3013 -2.9357 6.8572
6.3013 2.9357 -6.8572
I Br Cl
2 2 6
direct
0.1019 0.2500 0.3519
0.8981 0.7500 0.6481
0.6031 0.3531 0.7499
0.6032 0.8531 0.2501
0.0458 0.4318 0.1140
0.1112 0.2578 0.6178
0.1112 0.9934 0.3534
0.3177 0.9318 0.8860
0.6400 0.4934 0.3822
0.6400 0.7578 0.6466
```



This record from Alexandria describes I4Br3Cl2 after structural relaxation. The functional is GGA-PBE.

crystal system: triclinic

Structure (POSCAR):
```
I4Br3Cl2
1.0
8.5619 0.0000 0.0000
-3.4964 9.3994 0.0000
-3.9016 -2.8165 11.2642
I Br Cl
8 6 4
direct
0.0026 0.0565 0.3304
0.1253 0.4834 0.1446
0.3531 0.5061 0.4125
0.3694 0.9731 0.8025
0.6306 0.0269 0.1975
0.6469 0.4939 0.5875
0.8747 0.5166 0.8554
0.9974 0.9435 0.6696
0.0518 0.2215 0.7107
0.3583 0.4509 0.0656
0.4756 0.0104 0.5949
0.5244 0.9896 0.4051
0.6417 0.5491 0.9344
0.9482 0.7785 0.2893
0.1052 0.4943 0.7548
0.3266 0.9993 0.0721
0.6734 0.0007 0.9279
0.8948 0.5057 0.2452
```



This record from Alexandria describes I2BrCl2 after structural relaxation. The functional is GGA-PBE.

crystal system: monoclinic

Structure (POSCAR):
```
I2BrCl2
1.0
7.3234 -2.5245 0.0000
7.3234 2.5245 0.0000
-0.7745 0.0000 11.0510
I Br Cl
4 2 4
direct
0.0518 0.7456 0.5539
0.2544 0.9482 0.9461
0.7456 0.0518 0.0539
0.9482 0.2544 0.4461
0.3819 0.6181 0.7500
0.6181 0.3819 0.2500
0.1881 0.2152 0.6181
0.2152 0.1881 0.1181
0.7848 0.8119 0.8819
0.8119 0.7848 0.3819
```



| no. | formation energy (no corrections) (eV per atom) | total magnetization (μB per atom) |
| --- | --- | --- |
| 1 | 0.113 | 0.20 |
| 2 | -0.023 | 0.00 |
| 3 | -0.074 | 0.00 |